A relaxed HoBiRh3 crystal, computed with PBE.

Values from the calculation:
Its formation energy is -255 meV/atom.

a b c (Å): 5.853 11.610 6.571
angles (deg): 90.00 90.00 90.00
Space group Imma (No. 74)
One atom of each set of equivalent atoms:
Ho (0.000, 0.250, 0.054)
Bi (0.000, 0.000, 0.500)
Rh (0.000, 0.250, 0.470)
Rh (0.250, 0.132, 0.750)

---

A relaxed Nd6PbS5 crystal, computed with PBE.

Values from the calculation:
The value obtained for the formation energy without anion corrections is -1.739 eV/atom.

a b c (Å): 7.211 12.480 7.226
angles (deg): 90.00 109.52 90.00
Space group C2/m (No. 12)
One atom of each set of equivalent atoms:
Nd (0.238, 0.000, 0.259)
Nd (0.239, 0.174, 0.739)
Pb (0.000, 0.500, 0.000)
S (0.000, 0.000, 0.500)
S (0.000, 0.168, 0.000)
S (0.000, 0.340, 0.500)

---

A relaxed MgReGe3 crystal, computed with PBE.

Values from the calculation:
Its formation energy is 362 meV/atom. The energy above the most stable polymorph in this dataset is 0.0 meV/atom.

a b c (Å): 4.885 4.885 4.885
angles (deg): 90.00 90.00 90.00
Space group Pm-3m (No. 221)
One atom of each set of equivalent atoms:
Mg (0.000, 0.000, 0.000)
Re (0.500, 0.500, 0.500)
Ge (0.000, 0.500, 0.500)

---

A relaxed TmNpSc crystal, computed with PBE.

Values from the calculation:
Its formation energy is 343 meV/atom. The energy above the most stable polymorph in this dataset is 150.9 meV/atom.

a b c (Å): 3.252 3.252 14.510
angles (deg): 90.00 90.00 90.00
Space group I4mm (No. 107)
One atom of each set of equivalent atoms:
Tm (0.000, 0.000, 0.000)
Np (0.000, 0.000, 0.668)
Sc (0.000, 0.000, 0.323)

---

- What is the formula in the third record?
  MgReGe3